Entry 1:
Here is a relaxed MgAlGe2 crystal from Alexandria via LeMat-Bulk. Energies are from PBE-GGA.

The structure belongs to space group R-3m (No. 166, hexagonal axes); the cell edges are 3.3320, 3.3320 and 24.1613 Å and the angles 90.00°, 90.00° and 120.00°. The asymmetric unit holds Mg at (0.0000, 0.0000, 0.0000), Al at (0.0000, 0.0000, 0.5000) and Ge at (0.0000, 0.0000, 0.2449).

Entry 2:
Here is a relaxed YFeAsSe2 crystal from Alexandria via LeMat-Bulk. Energies are from PBE-GGA.

The structure belongs to space group P4/mmm (No. 123); the cell edges are 5.378, 5.378 and 5.472 Å and the angles 90.00°, 90.00° and 90.00°. The asymmetric unit holds Y at (0.000, 0.000, 0.000), Fe at (0.500, 0.500, 0.500), As at (0.000, 0.000, 0.500) and Se at (0.000, 0.500, 0.000).

The uncorrected formation energy is 0.443 eV per atom. The calculation puts the energy above the most stable polymorph in this dataset at 829 meV/atom.

Entry 3:
Here is a relaxed NdSm2S3 crystal from Alexandria via LeMat-Bulk. Energies are from PBE-GGA.

The structure belongs to space group C2/m (No. 12); the cell edges are 15.889, 3.902 and 9.884 Å and the angles 90.00°, 111.44° and 90.00°. The asymmetric unit holds Nd at (0.000, 0.000, 0.000), Nd at (0.000, 0.500, 0.500), Sm at (0.166, 0.000, 0.831), Sm at (0.167, 0.500, 0.332), S at (0.029, 0.000, 0.305), S at (0.142, 0.500, 0.028) and S at (0.196, 0.500, 0.639).

The uncorrected formation energy is -1.890 eV per atom. The calculation puts the energy above the most stable polymorph in this dataset at 133 meV/atom.

Entry 4:
Here is a relaxed KSrNi3 crystal from Alexandria via LeMat-Bulk. Energies are from PBE-GGA.

The structure belongs to space group Pm-3m (No. 221); the cell edges are 4.891, 4.891 and 4.891 Å and the angles 90.00°, 90.00° and 90.00°. The asymmetric unit holds K at (0.000, 0.000, 0.000), Sr at (0.500, 0.500, 0.500) and Ni at (0.000, 0.000, 0.500).

The calculation puts the energy above the most stable polymorph in this dataset at 27 meV/atom.

Entry 5:
Here is a relaxed Tm12Tl6In crystal from Alexandria via LeMat-Bulk. Energies are from PBE-GGA.

The structure belongs to space group R-3 (No. 148, hexagonal axes); the cell edges are 13.5269, 13.5269 and 12.0850 Å and the angles 90.00°, 90.00° and 120.00°. The asymmetric unit holds Tm at (0.0369, 0.8229, 0.3908), Tm at (0.0460, 0.8281, 0.8933), Tl at (0.0473, 0.7879, 0.6490) and In at (0.0000, 0.0000, 0.0000).

Entry 6:
Here is a relaxed SrEr3Se4 crystal from Alexandria via LeMat-Bulk. Energies are from PBE-GGA.

The structure belongs to space group Cmmm (No. 65); the cell edges are 8.297, 11.647 and 4.101 Å and the angles 90.00°, 90.00° and 90.00°. The asymmetric unit holds Sr at (0.000, 0.000, 0.000), Er at (0.000, 0.500, 0.000), Er at (0.250, 0.250, 0.500), Se at (0.000, 0.256, 0.000) and Se at (0.236, 0.500, 0.500).

The uncorrected formation energy is -1.750 eV per atom.

Entry 7:
Here is a relaxed TbP2Pt8 crystal from Alexandria via LeMat-Bulk. Energies are from PBE-GGA.

The structure belongs to space group I4/mmm (No. 139); the cell edges are 5.456, 5.456 and 14.682 Å and the angles 90.00°, 90.00° and 90.00°. The asymmetric unit holds Tb at (0.000, 0.000, 0.000), P at (0.000, 0.500, 0.250) and Pt at (0.247, 0.247, 0.351).

Entry 8:
Here is a relaxed HfMn2Ir2 crystal from Alexandria via LeMat-Bulk. Energies are from PBE-GGA.

The structure belongs to space group P4/mbm (No. 127); the cell edges are 7.232, 7.232 and 2.738 Å and the angles 90.00°, 90.00° and 90.00°. The asymmetric unit holds Hf at (0.000, 0.000, 0.000), Mn at (0.116, 0.384, 0.000) and Ir at (0.177, 0.677, 0.500).

The calculation puts the energy above the most stable polymorph in this dataset at 14 meV/atom.

Entry 9:
Here is a relaxed YAlRh2 crystal from Alexandria via LeMat-Bulk. Energies are from PBE-GGA.

The structure belongs to space group P2/m (No. 10); the cell edges are 3.194, 3.227 and 6.540 Å and the angles 90.00°, 90.10° and 90.00°. The asymmetric unit holds Y at (0.000, 0.000, 0.000), Al at (0.000, 0.000, 0.500) and Rh at (0.499, 0.500, 0.715).

Entry 10:
Here is a relaxed Dy5Ho2Er12 crystal from Alexandria via LeMat-Bulk. Energies are from PBE-GGA.

The structure belongs to space group P-1 (No. 2); the cell edges are 6.425, 8.766 and 11.269 Å and the angles 109.57°, 93.08° and 98.09°. The asymmetric unit holds Dy at (0.000, 0.000, 0.000), Dy at (0.197, 0.988, 0.697), Dy at (0.486, 0.609, 0.281), Ho at (0.264, 0.554, 0.540), Er at (0.033, 0.741, 0.370), Er at (0.053, 0.344, 0.231), Er at (0.222, 0.401, 0.959), Er at (0.297, 0.827, 0.139), Er at (0.334, 0.128, 0.423) and Er at (0.477, 0.801, 0.863).

The calculation puts the energy above the most stable polymorph in this dataset at 0 meV/atom.

Entry 11:
Here is a relaxed LiSc5Sn3 crystal from Alexandria via LeMat-Bulk. Energies are from PBE-GGA.

The structure belongs to space group P6_3/mcm (No. 193); the cell edges are 8.6907, 8.6907 and 6.1114 Å and the angles 90.00°, 90.00° and 120.00°. The asymmetric unit holds Li at (0.0000, 0.0000, 0.0000), Sc at (0.0000, 0.3070, 0.2500), Sc at (0.3333, 0.6667, 0.0000) and Sn at (0.0000, 0.3545, 0.7500).

Entry 12:
Here is a relaxed RbAsP2S8 crystal from Alexandria via LeMat-Bulk. Energies are from PBE-GGA.

The structure belongs to space group R-3 (No. 148, hexagonal axes); the cell edges are 5.9314, 5.9314 and 30.4043 Å and the angles 90.00°, 90.00° and 120.00°. The asymmetric unit holds Rb at (0.0000, 0.0000, 0.0000), As at (0.0000, 0.0000, 0.5000), P at (0.0000, 0.0000, 0.2354), S at (0.0000, 0.0000, 0.3010) and S at (0.0027, 0.6641, 0.2173).

The uncorrected formation energy is -0.194 eV per atom.

Number 1: final energy -3.6063 eV per atom. Number 2: final energy -4.8661 eV per atom. Number 3: final energy -6.3215 eV per atom. Number 4: final energy -2.6022 eV per atom. Number 5: final energy -3.6766 eV per atom. Number 6: final energy -5.4132 eV per atom. Number 7: final energy -6.0965 eV per atom. Number 8: final energy -9.4635 eV per atom. Number 9: final energy -7.0939 eV per atom. Number 10: final energy -4.4824 eV per atom. Number 11: final energy -5.6320 eV per atom. Number 12: final energy -4.3154 eV per atom.